An optimized crystal structure of MgMnVO4, computed with PBE with a Hubbard U.

POSCAR file:
```
MgMnVO4
1.0
-5.850 0.806 -1.195
3.312 -3.588 -3.447
-1.380 -1.614 5.666
O V Mg Mn
8 2 2 2
Cartesian
0.716 -4.474 0.515
-4.633 0.077 0.509
-3.728 -2.299 1.510
-0.812 -2.826 2.070
-1.994 -4.101 -0.038
-1.923 -0.296 1.063
-3.105 -1.571 -1.046
-0.190 -2.098 -0.486
-3.615 -0.404 2.236
-2.925 0.403 -0.597
-1.109 -2.192 3.952
-2.808 -2.205 -2.928
-1.959 -2.198 0.512
0.966 -2.601 1.110
```

Properties
The calculation puts the density at 4.23 Mg/m³. The calculated total energy is -7.137 eV/atom.

=====

An optimized crystal structure of Mg6MnVO8, computed with PBE with a Hubbard U.

POSCAR file:
```
Mg6MnVO8
1.0
-4.276 0.667 0.029
-0.289 -2.019 3.817
1.198 7.500 4.057
O Mg Mn V
8 6 1 1
Cartesian
0.309 1.934 1.046
-0.144 -1.009 1.908
-2.138 0.334 0.015
0.455 2.740 3.937
-1.976 1.240 2.959
-1.539 4.084 2.043
-1.390 4.909 4.944
0.889 5.566 3.011
0.599 3.750 2.029
0.750 4.589 4.937
-1.834 2.235 1.044
0.159 0.892 2.937
-1.243 5.932 3.043
-1.683 3.074 3.952
0.000 0.000 0.000
-2.282 -0.676 1.923
```

Properties
The calculation puts the density at 3.91 Mg/m³. The calculated total energy is -6.429 eV/atom.

=====

An optimized crystal structure of MgMnWO6, computed with PBE with a Hubbard U.

POSCAR file:
```
MgMnWO6
1.0
4.653 0.000 0.000
0.000 4.653 0.000
0.000 0.000 9.020
O W Mn Mg
12 2 2 2
Cartesian
3.285 3.285 2.902
0.937 3.716 1.585
3.790 0.863 4.505
3.189 3.189 9.015
1.389 1.389 6.095
0.863 3.790 4.505
0.958 3.695 7.412
3.716 0.937 1.585
3.695 0.958 7.412
1.368 1.368 2.902
3.263 3.263 6.095
1.463 1.463 9.015
2.326 2.326 1.534
0.000 0.000 6.044
2.326 2.326 7.509
0.000 0.000 2.999
0.000 0.000 0.030
2.326 2.326 4.540
```

Properties
The calculation puts the density at 6.11 Mg/m³. The calculated total energy is -7.055 eV/atom.

=====

An optimized crystal structure of YMg6MnO8, computed with PBE with a Hubbard U.

POSCAR file:
```
YMg6MnO8
1.0
-3.858 1.842 1.292
-2.222 -3.526 -1.606
0.719 -4.073 7.951
O Mg Mn Y
8 6 1 1
Cartesian
0.541 -3.068 5.989
-1.570 -1.115 4.622
-2.499 -3.907 5.827
-2.862 -1.850 1.811
-0.752 -3.800 3.173
0.177 -1.005 1.963
-1.111 -1.763 -0.803
-1.929 0.921 0.646
-1.760 -0.037 2.517
-3.040 -0.842 -0.157
-0.942 -2.721 1.068
-2.680 -2.879 3.819
-0.561 -4.878 5.278
-1.379 -2.194 6.727
0.000 0.000 0.000
0.359 -2.037 3.976
```

Properties
The calculation puts the density at 3.88 Mg/m³. The calculated total energy is -6.387 eV/atom.